Record 1
The following is a DFT calculation (GGA-PBE) of DyY2PbC after structural relaxation.

Structure (extended XYZ):
```
5
Lattice="4.926 0.000 0.000 0.000 4.926 0.000 0.000 0.000 4.926" Properties=species:S:1:pos:R:3 pbc="T T T"
Dy 0.000 0.000 0.000
Y 0.000 2.463 2.463
Y 2.463 0.000 2.463
Pb 2.463 2.463 0.000
C 0.000 0.000 2.463
```

Output
* crystal system: tetragonal
* space group: P4/mmm
* energy of formation: -561 meV/atom
* density: 7.77 g/cm3
* N(E_F): 2.36 states/eV per cell

---

Record 2
The following is a DFT calculation (GGA-PBE) of CrCu8Pd6 after structural relaxation.

Structure (extended XYZ):
```
15
Lattice="3.499 2.020 5.154 -3.499 2.020 5.154 0.000 -4.041 5.154" Properties=species:S:1:pos:R:3 pbc="T T T"
Cr 0.000 0.000 0.000
Cu -2.478 0.136 7.157
Cu -1.356 -2.078 8.303
Cu 0.000 0.000 3.765
Cu 1.122 -2.214 7.157
Cu -1.122 2.214 8.303
Cu 0.000 0.000 11.696
Cu 1.356 2.078 7.157
Cu 2.478 -0.135 8.303
Pd -0.850 -1.650 5.825
Pd -1.854 -0.089 9.636
Pd -1.004 1.562 5.825
Pd 1.004 -1.562 9.636
Pd 1.854 0.089 5.825
Pd 0.850 1.650 9.636
```

Output
* crystal system: trigonal
* space group: R-3
* energy of formation: 89 meV/atom
* density: 9.11 g/cm3
* N(E_F): 7.61 states/eV per cell

---

Record 3
The following is a DFT calculation (GGA-PBE) of Mg6In5Ge after structural relaxation.

Structure (extended XYZ):
```
12
Lattice="5.340 0.000 0.000 0.000 6.723 0.000 -0.398 0.000 7.627" Properties=species:S:1:pos:R:3 pbc="T T T"
Mg 0.000 1.612 0.000
Mg 0.000 5.110 0.000
Mg 1.558 1.641 5.153
Mg 1.558 5.081 5.153
Mg 3.385 1.641 2.473
Mg 3.385 5.081 2.473
In 0.738 3.361 2.536
In 0.754 0.000 2.532
In 2.670 3.361 0.000
In 4.188 0.000 5.094
In 4.205 3.361 5.091
Ge 2.670 0.000 0.000
```

Output
* crystal system: monoclinic
* space group: P2/m
* energy of formation: -78 meV/atom
* density: 4.81 g/cm3
* N(E_F): 3.41 states/eV per cell

---

Record 4
The following is a DFT calculation (GGA-PBE) of Cs2ZnOs after structural relaxation.

Structure (extended XYZ):
```
8
Lattice="-5.029 5.029 7.208 5.029 -5.029 7.208 5.029 5.029 -7.208" Properties=species:S:1:pos:R:3 pbc="T T T"
Cs 0.045 2.515 1.802
Cs -2.515 4.984 5.406
Cs -0.045 7.544 1.802
Cs 2.515 5.074 5.406
Zn 5.029 0.000 3.604
Zn 0.000 0.000 7.208
Os 0.000 0.000 0.000
Os 0.000 5.029 3.604
```

Output
* crystal system: tetragonal
* space group: I-42d
* energy of formation: 1670 meV/atom
* density: 2.37 g/cm3
* N(E_F): 1.84 states/eV per cell

---

Record 5
The following is a DFT calculation (GGA-PBE) of Y3Tm2Zn2 after structural relaxation.

Structure (extended XYZ):
```
7
Lattice="1.769 -15.248 0.000 1.769 15.248 0.000 0.000 0.000 3.504" Properties=species:S:1:pos:R:3 pbc="T T T"
Y 0.000 0.000 0.000
Y 1.769 11.610 0.000
Y 1.769 -11.610 0.000
Tm 1.769 6.151 1.752
Tm 1.769 -6.151 1.752
Zn 1.769 1.783 1.752
Zn 1.769 -1.783 1.752
```

Output
* crystal system: orthorhombic
* excess energy over the best structure of this formula in the dataset: 0.0538 eV per atom
* space group: Cmmm
* energy of formation: -114 meV/atom
* density: 6.46 g/cm3
* N(E_F): 10.31 states/eV per cell

---

Record 6
The following is a DFT calculation (GGA-PBE) of Zr3In after structural relaxation.

Structure (extended XYZ):
```
4
Lattice="3.105 0.000 0.000 0.000 5.262 0.000 -0.519 0.000 5.587" Properties=species:S:1:pos:R:3 pbc="T T T"
Zr 0.000 0.000 0.000
Zr 0.411 2.631 4.253
Zr 2.175 2.631 1.334
In 1.293 0.000 2.794
```

Output
* crystal system: monoclinic
* space group: P2/m
* energy of formation: -91 meV/atom
* density: 7.07 g/cm3
* N(E_F): 5.41 states/eV per cell

---

Record 7
The following is a DFT calculation (GGA-PBE) of Na8Tl3Hg after structural relaxation.

Structure (extended XYZ):
```
12
Lattice="5.286 -5.299 0.000 5.286 5.299 0.000 -4.891 0.000 7.558" Properties=species:S:1:pos:R:3 pbc="T T T"
Na 2.668 2.663 1.915
Na 0.142 0.000 1.907
Na 0.221 0.000 5.662
Na 3.013 2.663 5.643
Na 2.668 -2.663 1.915
Na 5.460 0.000 1.895
Na 5.538 0.000 5.651
Na 3.013 -2.663 5.643
Tl 5.286 2.646 0.000
Tl 2.840 0.000 3.779
Tl 5.286 -2.646 0.000
Hg -2.446 0.000 3.779
```

Output
* crystal system: monoclinic
* space group: C2/m
* energy of formation: 1 meV/atom
* density: 3.91 g/cm3
* N(E_F): 5.47 states/eV per cell

---

Record 8
The following is a DFT calculation (GGA-PBE) of AlAg2Mo after structural relaxation.

Structure (extended XYZ):
```
4
Lattice="2.779 0.000 0.000 0.000 2.779 0.000 0.000 0.000 8.537" Properties=species:S:1:pos:R:3 pbc="T T T"
Al 0.000 0.000 0.000
Ag 0.000 0.000 4.151
Ag 1.390 1.390 6.460
Mo 1.390 1.390 1.939
```

Output
* crystal system: tetragonal
* space group: P4mm
* energy of formation: 78 meV/atom
* density: 8.53 g/cm3
* N(E_F): 2.24 states/eV per cell

---

Record 9
The following is a DFT calculation (GGA-PBE) of AcPaAs2 after structural relaxation.

Structure (extended XYZ):
```
4
Lattice="3.653 0.000 0.000 0.000 3.653 0.000 0.000 0.000 7.418" Properties=species:S:1:pos:R:3 pbc="T T T"
Ac 0.000 0.000 0.000
Pa 0.000 0.000 3.709
As 1.826 1.826 2.068
As 1.826 1.826 5.350
```

Output
* crystal system: tetragonal
* excess energy over the best structure of this formula in the dataset: 0.2699 eV per atom
* space group: P4/mmm
* energy of formation: -952 meV/atom
* density: 10.20 g/cm3
* N(E_F): 4.12 states/eV per cell

---

Record 10
The following is a DFT calculation (GGA-PBE) of NdTm2Au after structural relaxation.

Structure (extended XYZ):
```
8
Lattice="2.455 -6.006 0.000 2.455 6.006 0.000 0.000 0.000 7.742" Properties=species:S:1:pos:R:3 pbc="T T T"
Nd 2.455 5.431 5.807
Nd 2.455 -5.431 1.936
Tm 2.455 1.765 4.157
Tm 2.455 1.765 7.457
Tm 2.455 -1.765 0.285
Tm 2.455 -1.765 3.586
Au 2.455 3.538 1.936
Au 2.455 -3.538 5.807
```

Output
* crystal system: orthorhombic
* excess energy over the best structure of this formula in the dataset: 0.0000 eV per atom
* space group: Cmcm
* energy of formation: -425 meV/atom
* density: 9.88 g/cm3
* N(E_F): 11.38 states/eV per cell

---

Record 11
The following is a DFT calculation (GGA-PBE) of Pr3TlIr after structural relaxation.

Structure (extended XYZ):
```
10
Lattice="4.133 0.000 0.000 0.000 10.825 0.000 -2.066 0.000 7.157" Properties=species:S:1:pos:R:3 pbc="T T T"
Pr -0.004 2.706 0.903
Pr 0.001 0.522 5.228
Pr 0.001 4.891 5.228
Pr 2.066 5.934 1.930
Pr 2.066 10.303 1.930
Pr 2.071 8.119 6.254
Tl 0.007 8.119 3.630
Tl 2.061 2.706 3.527
Ir 0.000 0.000 0.000
Ir 0.000 5.412 0.000
```

Output
* crystal system: monoclinic
* excess energy over the best structure of this formula in the dataset: 0.0288 eV per atom
* space group: P2_1/m
* energy of formation: -441 meV/atom
* density: 8.50 g/cm3
* N(E_F): 10.01 states/eV per cell

---

Record 12
The following is a DFT calculation (GGA-PBE) of TiFePCl2 after structural relaxation.

Structure (extended XYZ):
```
5
Lattice="4.448 0.000 0.000 0.000 4.448 0.000 0.000 0.000 4.526" Properties=species:S:1:pos:R:3 pbc="T T T"
Ti 0.000 0.000 0.000
Fe 2.224 2.224 2.263
P 2.224 2.224 0.000
Cl 0.000 2.224 2.263
Cl 2.224 0.000 2.263
```

Output
* crystal system: tetragonal
* excess energy over the best structure of this formula in the dataset: 0.3006 eV per atom
* space group: P4/mmm
* density: 3.81 g/cm3
* N(E_F): 9.81 states/eV per cell
* uncorrected formation energy: 0.3107 eV per atom

---

Record 13
The following is a DFT calculation (GGA-PBE) of LaNd2SmTh after structural relaxation.

Structure (extended XYZ):
```
10
Lattice="8.712 0.000 0.000 0.000 6.544 0.000 -1.078 0.000 6.408" Properties=species:S:1:pos:R:3 pbc="T T T"
La 0.000 0.000 0.000
La -0.539 0.000 3.204
Nd 2.530 2.088 1.229
Nd 1.991 4.455 4.433
Nd 5.643 2.088 1.975
Nd 5.104 4.455 5.179
Sm 3.547 1.087 4.806
Sm 4.086 5.457 1.602
Th -0.808 2.957 4.806
Th -0.269 3.587 1.602
```

Output
* crystal system: monoclinic
* space group: P2/c
* energy of formation: 284 meV/atom
* density: 7.36 g/cm3
* N(E_F): 14.64 states/eV per cell

---

Record 14
The following is a DFT calculation (GGA-PBE) of Tb3Pm6Sm2Dy after structural relaxation.

Structure (extended XYZ):
```
12
Lattice="3.134 -5.427 0.000 3.134 5.427 0.000 -2.087 0.000 11.771" Properties=species:S:1:pos:R:3 pbc="T T T"
Tb 0.000 0.000 0.000
Tb 3.134 1.808 0.000
Tb 3.134 -1.808 0.000
Pm 1.046 1.806 2.930
Pm 0.005 0.000 8.843
Pm 1.046 -1.806 2.930
Pm 3.135 1.806 8.841
Pm 4.176 0.000 2.928
Pm 3.135 -1.806 8.841
Sm 2.090 3.618 5.885
Sm 2.090 -3.618 5.885
Dy 2.090 0.000 5.885
```

Output
* crystal system: monoclinic
* space group: C2/m
* energy of formation: 12 meV/atom
* density: 7.51 g/cm3
* N(E_F): 15.49 states/eV per cell

---

Record 15
The following is a DFT calculation (GGA-PBE) of NaInHgPb after structural relaxation.

Structure (extended XYZ):
```
4
Lattice="3.734 0.000 0.000 0.000 3.734 0.000 0.000 0.000 7.948" Properties=species:S:1:pos:R:3 pbc="T T T"
Na 0.000 0.000 0.000
In 0.000 0.000 3.728
Hg 1.867 1.867 1.819
Pb 1.867 1.867 5.668
```

Output
* crystal system: tetragonal
* space group: P4mm
* energy of formation: -112 meV/atom
* density: 8.17 g/cm3
* N(E_F): 0.92 states/eV per cell

---

Record 16
The following is a DFT calculation (GGA-PBE) of CrFe2Os2 after structural relaxation.

Structure (extended XYZ):
```
10
Lattice="7.092 0.000 0.000 0.000 7.092 0.000 0.000 0.000 2.603" Properties=species:S:1:pos:R:3 pbc="T T T"
Cr 0.000 0.000 0.000
Cr 3.546 3.546 0.000
Fe 1.186 2.360 1.302
Fe 2.360 5.906 1.302
Fe 4.732 1.186 1.302
Fe 5.906 4.732 1.302
Os 0.919 4.465 0.000
Os 2.627 0.919 0.000
Os 4.465 6.173 0.000
Os 6.173 2.627 0.000
```

Output
* crystal system: tetragonal
* excess energy over the best structure of this formula in the dataset: 0.1109 eV per atom
* space group: P4/mbm
* energy of formation: 402 meV/atom
* density: 13.80 g/cm3
* N(E_F): 10.67 states/eV per cell

---

Record 17
The following is a DFT calculation (GGA-PBE) of TeMo3Au after structural relaxation.

Structure (extended XYZ):
```
5
Lattice="4.861 0.000 0.000 0.000 4.861 0.000 0.000 0.000 4.861" Properties=species:S:1:pos:R:3 pbc="T T T"
Te 0.000 0.000 0.000
Mo 0.000 0.000 2.431
Mo 0.000 2.431 0.000
Mo 2.431 0.000 0.000
Au 2.431 2.431 2.431
```

Output
* crystal system: cubic
* excess energy over the best structure of this formula in the dataset: 0.0000 eV per atom
* space group: Pm-3m
* density: 8.85 g/cm3
* N(E_F): 8.26 states/eV per cell
* uncorrected formation energy: 1.9105 eV per atom

---

Record 18
The following is a DFT calculation (GGA-PBE) of RbCrSe2N after structural relaxation.

Structure (extended XYZ):
```
5
Lattice="5.668 0.000 0.000 0.000 5.668 0.000 0.000 0.000 4.225" Properties=species:S:1:pos:R:3 pbc="T T T"
Rb 0.000 0.000 0.000
Cr 2.834 2.834 2.112
Se 0.000 2.834 0.000
Se 2.834 0.000 0.000
N 0.000 0.000 2.112
```

Output
* crystal system: tetragonal
* excess energy over the best structure of this formula in the dataset: 2.5493 eV per atom
* space group: P4/mmm
* density: 3.78 g/cm3
* N(E_F): 12.23 states/eV per cell
* uncorrected formation energy: 2.5070 eV per atom

---

Record 19
The following is a DFT calculation (GGA-PBE) of SrAsOs2 after structural relaxation.

Structure (extended XYZ):
```
4
Lattice="3.057 0.000 0.000 0.000 3.057 0.000 0.000 0.000 7.982" Properties=species:S:1:pos:R:3 pbc="T T T"
Sr 0.000 0.000 0.000
As 1.529 1.529 2.557
Os 0.000 0.000 4.053
Os 1.529 1.529 5.662
```

Output
* crystal system: tetragonal
* space group: P4mm
* energy of formation: 319 meV/atom
* density: 12.08 g/cm3
* N(E_F): 3.69 states/eV per cell

---

Record 20
The following is a DFT calculation (GGA-PBE) of Li4LaPa3O12 after structural relaxation.

Structure (extended XYZ):
```
20
Lattice="5.656 3.266 2.665 -5.656 3.266 2.665 0.000 -6.531 2.665" Properties=species:S:1:pos:R:3 pbc="T T T"
Li 0.000 0.000 0.000
Li -2.520 -2.166 2.665
Li -0.616 3.266 2.665
Li 3.136 -1.099 2.665
La 0.000 0.000 3.997
Pa -5.108 0.000 3.997
Pa 2.554 -4.424 3.997
Pa 2.554 4.424 3.997
O -3.456 -0.546 2.665
O -4.741 1.680 2.665
O 0.916 -4.945 2.665
O -0.601 -1.988 2.574
O -1.421 1.515 2.574
O 2.201 -2.720 2.665
O -1.421 -1.515 5.421
O 2.023 0.473 2.574
O 1.255 3.266 2.665
O -0.601 1.988 5.421
O 2.023 -0.473 5.421
O 3.825 3.266 2.665
```

Output
* crystal system: trigonal
* space group: R32
* density: 5.91 g/cm3
* N(E_F): 10.42 states/eV per cell
* uncorrected formation energy: -2.8088 eV per atom

---

Record 21
The following is a DFT calculation (GGA-PBE) of PdI2NO after structural relaxation.

Structure (extended XYZ):
```
5
Lattice="5.008 0.000 0.000 0.000 5.008 0.000 0.000 0.000 3.923" Properties=species:S:1:pos:R:3 pbc="T T T"
Pd 0.000 0.000 0.000
I 0.000 2.504 1.962
I 2.504 0.000 1.962
N 2.504 2.504 0.000
O 2.504 2.504 1.962
```

Output
* crystal system: tetragonal
* excess energy over the best structure of this formula in the dataset: 0.2645 eV per atom
* space group: P4/mmm
* density: 6.58 g/cm3
* N(E_F): 4.23 states/eV per cell
* uncorrected formation energy: 1.3794 eV per atom

---

Record 22
The following is a DFT calculation (GGA-PBE) of NiSb2Au after structural relaxation.

Structure (extended XYZ):
```
4
Lattice="3.210 0.000 0.000 0.000 3.292 0.000 0.000 0.000 7.862" Properties=species:S:1:pos:R:3 pbc="T T T"
Ni 0.000 0.000 0.000
Sb 0.000 0.000 4.360
Sb 1.605 1.646 1.343
Au 1.605 1.646 6.264
```

Output
* crystal system: orthorhombic
* space group: Pmm2
* density: 9.97 g/cm3
* N(E_F): 2.13 states/eV per cell
* uncorrected formation energy: 0.0371 eV per atom

---

Record 23
The following is a DFT calculation (GGA-PBE) of Cs3Rb after structural relaxation.

Structure (extended XYZ):
```
8
Lattice="4.301 -8.914 0.000 4.301 8.914 0.000 -4.276 0.000 12.026" Properties=species:S:1:pos:R:3 pbc="T T T"
Cs -0.004 6.068 8.784
Cs 4.329 6.068 3.243
Cs 0.001 0.000 7.617
Cs 4.325 0.000 4.409
Cs -0.004 -6.068 8.784
Cs 4.329 -6.068 3.243
Rb 4.301 2.405 0.000
Rb 4.301 -2.405 0.000
```

Output
* crystal system: monoclinic
* space group: C2/m
* energy of formation: 36 meV/atom
* density: 1.74 g/cm3
* N(E_F): 8.92 states/eV per cell

---

Record 24
The following is a DFT calculation (GGA-PBE) of TaTe3Pb after structural relaxation.

Structure (extended XYZ):
```
5
Lattice="5.459 0.000 0.000 0.000 5.459 0.000 0.000 0.000 5.459" Properties=species:S:1:pos:R:3 pbc="T T T"
Ta 0.000 0.000 0.000
Te 0.000 0.000 2.729
Te 0.000 2.729 0.000
Te 2.729 0.000 0.000
Pb 2.729 2.729 2.729
```

Output
* crystal system: cubic
* excess energy over the best structure of this formula in the dataset: 0.0000 eV per atom
* space group: Pm-3m
* density: 7.87 g/cm3
* N(E_F): 5.55 states/eV per cell
* uncorrected formation energy: 0.1603 eV per atom

---

Record 25
The following is a DFT calculation (GGA-PBE) of ScBi2F after structural relaxation.

Structure (extended XYZ):
```
8
Lattice="-2.230 2.230 10.547 2.230 -2.230 10.547 2.230 2.230 -10.547" Properties=species:S:1:pos:R:3 pbc="T T T"
Sc 0.000 0.000 0.000
Sc 0.000 2.230 5.273
Bi 3.345 1.046 -2.637
Bi 1.046 1.115 2.637
Bi -1.115 1.184 7.910
Bi 1.184 1.115 13.183
F 2.230 0.000 5.273
F 0.000 0.000 10.547
```

Output
* crystal system: tetragonal
* excess energy over the best structure of this formula in the dataset: 0.0000 eV per atom
* space group: I-42d
* density: 7.63 g/cm3
* N(E_F): 0.00 states/eV per cell
* uncorrected formation energy: -0.7059 eV per atom